# 1
## CaPd2Au2 (PBE)

Data for a relaxed CaPd2Au2 crystal.

Results
DFT total energy: -4.205 eV/atom
Energy relative to the elements: -201 kJ/mol of formula units
Space-group type: I4/mmm (139)

Lattice parameters (Å, degrees): 3.962 3.962 7.088 73.77 73.77 90.00
Fractional coordinates of all 5 atoms:
Pd (0.750, 0.250, 0.500)
Pd (0.250, 0.750, 0.500)
Ca (0.000, 0.000, 0.000)
Au (0.602, 0.602, 0.796)
Au (0.398, 0.398, 0.204)

# 2
## CaPd4Au6 (PBE)

Data for a relaxed CaPd4Au6 crystal.

Results
DFT total energy: -3.923 eV/atom
Energy relative to the elements: -69 kJ/mol of formula units
Space-group type: I-42m (121)

Lattice parameters (Å, degrees): 6.984 6.984 6.984 84.39 123.29 123.29
Fractional coordinates of all 11 atoms:
Pd (0.000, 0.559, 0.254)
Au (0.000, 0.908, 0.439)
Pd (0.000, 0.254, 0.559)
Au (0.000, 0.439, 0.908)
Pd (0.695, 0.441, 0.441)
Au (0.469, 0.561, 0.561)
Pd (0.305, 0.746, 0.746)
Au (0.500, 0.500, 0.000)
Au (0.500, 0.000, 0.500)
Au (0.531, 0.092, 0.092)
Ca (0.000, 0.000, 0.000)